--- a ---
Entry from the Alexandria database: an optimized crystal structure of TbPuAl (PBE-GGA).

Properties
* total magnetization: 5.68 μB per cell
* SG: I4mm (107)

POSCAR file:
```
TbPuAl
1.0
3.301 0.000 0.000
0.000 3.301 0.000
-1.650 -1.650 6.908
Tb Pu Al
1 1 1
direct
0.935 0.935 0.870 Tb
0.632 0.632 0.264 Pu
0.283 0.283 0.565 Al
```


--- b ---
Entry from the Alexandria database: an optimized crystal structure of TbPuAl (PBE-GGA).

Properties
* total magnetization: 5.84 μB per cell
* SG: P3m1 (156)

POSCAR file:
```
TbPuAl
1.0
-2.915 1.219 0.743
-0.683 -3.735 3.449
2.204 4.414 1.402
Pu Al Tb
1 1 1
direct
0.029 0.000 0.000 Pu
0.335 0.667 0.333 Al
0.636 0.333 0.667 Tb
```


If you had to name the least stable structure above, which would it be? It would be b.